Below is a PBEsol-optimized structure of LaAlPt3, with properties calculated at the SCAN level.

Lattice parameters (Å, degrees): 4.6522 4.6522 4.6522 90.00 90.00 90.00
Closest atoms and distances in Å follow each position.
Sites, in units of the cell vectors:
La: 0.0000 0.0000 0.0000  12 Pt 3.29
Al: 0.5000 0.5000 0.5000  6 Pt 2.33
Pt: 0.0000 0.5000 0.5000  2 Al 2.33
Pt: 0.5000 0.0000 0.5000  2 Al 2.33
Pt: 0.5000 0.5000 0.0000  2 Al 2.33

**Energy of formation from the pure elements**: -0.811 eV per atom
**Crystal system**: cubic
**Calculated density**: 12388 kg/m³